# 1
Here is NaInP2O6 after structural relaxation from Alexandria via LeMat-Bulk. Energies are from GGA-PBE.

It has space group R-3 (No. 148, hexagonal axes), with a = 5.7693 Å, b = 5.7693 Å, c = 18.1710 Å, α = 90.00°, β = 90.00° and γ = 120.00°. The asymmetric unit holds Na at (0.0000, 0.0000, 0.0000), In at (0.0000, 0.0000, 0.5000), P at (0.0000, 0.0000, 0.2600) and O at (0.0395, 0.2770, 0.7414).

Its formation energy from raw total energies is -1.77 eV/atom. For the spin magnetization, the calculation gives 0.0000 μB per atom.



# 2
Here is Na3In2P3O12 after structural relaxation from Alexandria via LeMat-Bulk. Energies are from GGA-PBE.

It has space group C2/c (No. 15), with a = 12.628 Å, b = 12.967 Å, c = 6.699 Å, α = 90.00°, β = 114.31° and γ = 90.00°. The asymmetric unit holds Na at (0.000, 0.000, 0.000), Na at (0.000, 0.225, 0.250), Na at (0.000, 0.481, 0.750), In at (0.228, 0.344, 0.155), P at (0.000, 0.226, 0.750), P at (0.240, 0.399, 0.634), O at (0.051, 0.296, 0.956), O at (0.089, 0.151, 0.718), O at (0.136, 0.077, 0.328), O at (0.166, 0.498, 0.621), O at (0.172, 0.338, 0.417) and O at (0.236, 0.329, 0.825).

Its formation energy from raw total energies is -2.13 eV/atom. For the spin magnetization, the calculation gives 0.0000 μB per atom.



# 3
Here is Na3InP2O8 after structural relaxation from Alexandria via LeMat-Bulk. Energies are from GGA-PBE.

It has space group C2/m (No. 12), with a = 8.772 Å, b = 5.534 Å, c = 7.129 Å, α = 90.00°, β = 90.26° and γ = 90.00°. The asymmetric unit holds Na at (0.000, 0.000, 0.000), Na at (0.188, 0.500, 0.216), In at (0.000, 0.000, 0.500), P at (0.154, 0.500, 0.723), O at (0.047, 0.271, 0.721), O at (0.244, 0.000, 0.455) and O at (0.250, 0.000, 0.098).

Its formation energy from raw total energies is -2.15 eV/atom. For the spin magnetization, the calculation gives 0.0000 μB per atom.



# 4
Here is Na3In3PO8 after structural relaxation from Alexandria via LeMat-Bulk. Energies are from GGA-PBE.

It has space group R-3m (No. 166, hexagonal axes), with a = 6.4175 Å, b = 6.4175 Å, c = 16.7541 Å, α = 90.00°, β = 90.00° and γ = 120.00°. The asymmetric unit holds Na at (0.0000, 0.5000, 0.0000), In at (0.0000, 0.5000, 0.5000), P at (0.0000, 0.0000, 0.5000), O at (0.0000, 0.0000, 0.2374) and O at (0.0687, 0.5344, 0.2277).

Its formation energy from raw total energies is -1.59 eV/atom. For the spin magnetization, the calculation gives 0.0000 μB per atom.



# 5
Here is NaPaIn2O6 after structural relaxation from Alexandria via LeMat-Bulk. Energies are from GGA-PBE.

It has space group R3 (No. 146, hexagonal axes), with a = 5.7183 Å, b = 5.7183 Å, c = 15.1274 Å, α = 90.00°, β = 90.00° and γ = 120.00°. The asymmetric unit holds Na at (0.0000, 0.0000, 0.0000), Pa at (0.0000, 0.0000, 0.4870), In at (0.0000, 0.0000, 0.2778), In at (0.0000, 0.0000, 0.7838), O at (0.0117, 0.3194, 0.8797) and O at (0.0347, 0.6303, 0.0546).

Its formation energy from raw total energies is -2.23 eV/atom. For the spin magnetization, the calculation gives 0.0000 μB per atom.



# 6
Here is NaPaInO6 after structural relaxation from Alexandria via LeMat-Bulk. Energies are from GGA-PBE.

It has space group P312 (No. 149), with a = 5.7144 Å, b = 5.7144 Å, c = 4.7664 Å, α = 90.00°, β = 90.00° and γ = 120.00°. The asymmetric unit holds Na at (0.0000, 0.0000, 0.0000), Pa at (0.6667, 0.3333, 0.5000), In at (0.3333, 0.6667, 0.0000) and O at (0.3739, 0.0061, 0.2441).

Its formation energy from raw total energies is -1.73 eV/atom. For the spin magnetization, the calculation gives 0.3357 μB per atom.



# 7
Here is NaPa2InO8 after structural relaxation from Alexandria via LeMat-Bulk. Energies are from GGA-PBE.

It has space group I-4 (No. 82), with a = 5.491 Å, b = 5.491 Å, c = 10.609 Å, α = 90.00°, β = 90.00° and γ = 90.00°. The asymmetric unit holds Na at (0.000, 0.000, 0.000), Pa at (0.000, 0.000, 0.500), Pa at (0.000, 0.500, 0.250), In at (0.000, 0.500, 0.750), O at (0.210, 0.724, 0.390) and O at (0.212, 0.755, 0.645).

Its formation energy from raw total energies is -2.46 eV/atom. For the spin magnetization, the calculation gives 0.1735 μB per atom.



# 8
Here is NaPaIn4O8 after structural relaxation from Alexandria via LeMat-Bulk. Energies are from GGA-PBE.

It has space group R3m (No. 160, hexagonal axes), with a = 6.6388 Å, b = 6.6388 Å, c = 16.3377 Å, α = 90.00°, β = 90.00° and γ = 120.00°. The asymmetric unit holds Na at (0.0000, 0.0000, 0.0000), Pa at (0.0000, 0.0000, 0.6184), In at (0.0000, 0.0000, 0.3757), In at (0.1696, 0.3392, 0.8301), O at (0.0000, 0.0000, 0.2387), O at (0.0000, 0.0000, 0.7580), O at (0.0125, 0.5063, 0.7603) and O at (0.1746, 0.3492, 0.5729).

Its formation energy from raw total energies is -1.81 eV/atom. For the spin magnetization, the calculation gives 0.0625 μB per atom.



# 9
Here is Na3In2PbO6 after structural relaxation from Alexandria via LeMat-Bulk. Energies are from GGA-PBE.

It has space group C2/m (No. 12), with a = 5.827 Å, b = 10.092 Å, c = 5.929 Å, α = 90.00°, β = 109.21° and γ = 90.00°. The asymmetric unit holds Na at (0.000, 0.000, 0.000), Na at (0.000, 0.332, 0.000), In at (0.000, 0.167, 0.500), Pb at (0.000, 0.500, 0.500), O at (0.223, 0.000, 0.719) and O at (0.248, 0.325, 0.716).

Its formation energy from raw total energies is -1.46 eV/atom. For the spin magnetization, the calculation gives 0.0325 μB per atom.



# 10
Here is NaInPbO3 after structural relaxation from Alexandria via LeMat-Bulk. Energies are from GGA-PBE.

It has space group P2_1/m (No. 11), with a = 6.402 Å, b = 3.236 Å, c = 10.014 Å, α = 90.00°, β = 91.12° and γ = 90.00°. The asymmetric unit holds Na at (0.128, 0.250, 0.296), In at (0.368, 0.750, 0.609), Pb at (0.230, 0.250, 0.947), O at (0.122, 0.750, 0.093), O at (0.176, 0.250, 0.677) and O at (0.388, 0.750, 0.393).

Its formation energy from raw total energies is -1.31 eV/atom. For the spin magnetization, the calculation gives 0.0000 μB per atom.



# 11
Here is Na4In3PbO8 after structural relaxation from Alexandria via LeMat-Bulk. Energies are from GGA-PBE.

It has space group R-3m (No. 166, hexagonal axes), with a = 6.6880 Å, b = 6.6880 Å, c = 16.7594 Å, α = 90.00°, β = 90.00° and γ = 120.00°. The asymmetric unit holds Na at (0.0000, 0.0000, 0.0000), Na at (0.0000, 0.5000, 0.0000), In at (0.0000, 0.5000, 0.5000), Pb at (0.0000, 0.0000, 0.5000), O at (0.0000, 0.0000, 0.2375) and O at (0.0141, 0.5070, 0.7609).

Its formation energy from raw total energies is -1.50 eV/atom. For the spin magnetization, the calculation gives 0.0000 μB per atom.



# 12
Here is Na4InPd3O8 after structural relaxation from Alexandria via LeMat-Bulk. Energies are from GGA-PBE.

It has space group C2/m (No. 12), with a = 11.879 Å, b = 6.213 Å, c = 6.385 Å, α = 90.00°, β = 121.41° and γ = 90.00°. The asymmetric unit holds Na at (0.000, 0.000, 0.000), Na at (0.000, 0.500, 0.000), Na at (0.250, 0.250, 0.500), In at (0.000, 0.000, 0.500), Pd at (0.000, 0.500, 0.500), Pd at (0.250, 0.250, 0.000), O at (0.020, 0.261, 0.297), O at (0.203, 0.500, 0.750) and O at (0.225, 0.000, 0.766).

Its formation energy from raw total energies is -1.03 eV/atom. For the spin magnetization, the calculation gives 0.0617 μB per atom.